No. 1
Computed, not measured: Ge5Sb3Se12 after structural relaxation at the GGA-PBE level of DFT.

extended XYZ file:
```
80
Lattice="-8.528 4.056 -10.424 -7.432 -1.412 11.858 10.035 9.675 1.881" Properties=species:S:1:pos:R:3 pbc="T T T"
Se -2.580 4.502 3.790
Se -8.126 1.798 3.399
Se -3.526 7.978 3.611
Se -8.477 7.708 1.230
Se -3.346 7.817 -0.476
Se -0.555 4.696 -3.260
Se 0.067 11.523 -2.683
Se -0.350 6.852 1.287
Se -6.380 6.151 -1.949
Se -3.199 0.802 3.715
Se 4.873 7.483 6.037
Se -5.330 1.824 1.121
Se -3.776 2.713 10.544
Se -4.913 3.073 -2.777
Se 2.245 6.187 8.395
Se -0.596 10.494 2.193
Se 2.552 4.611 2.085
Se -6.270 0.291 10.072
Se -2.150 9.605 -7.229
Se -1.012 9.246 6.091
Se -13.395 2.372 2.320
Se 7.470 9.946 0.994
Se -5.992 0.796 5.998
Se -10.888 4.784 2.777
Se -1.021 4.669 8.195
Se -4.904 7.649 -4.880
Se -8.681 3.824 -0.114
Se -7.432 5.127 4.985
Se -5.370 7.623 6.575
Se 4.963 7.535 0.537
Se -1.484 8.177 -3.428
Se 0.345 12.027 -6.758
Se 0.454 6.168 5.264
Se -2.726 11.517 -0.401
Se 1.507 7.192 -1.670
Se 2.756 8.495 3.428
Se 2.201 10.521 -0.085
Se -8.170 6.132 -5.080
Se -10.799 4.836 -2.722
Se -4.441 4.141 6.743
Se -5.575 5.467 2.028
Se -5.969 10.114 1.708
Se -2.399 4.341 -0.296
Se -3.420 4.576 -5.696
Se 0.762 9.254 9.232
Se 0.044 2.204 1.607
Se -2.506 7.742 9.010
Se -6.687 3.064 -5.917
Ge -7.980 1.322 0.717
Ge 1.302 4.131 6.869
Ge -4.264 2.028 -5.212
Ge -4.581 9.923 -0.299
Ge -3.802 2.377 -0.709
Ge -7.278 5.788 0.298
Ge 1.456 11.331 -4.690
Ge -2.963 6.159 1.657
Ge -7.381 0.988 8.005
Ge 1.353 6.531 3.016
Ge 3.399 8.601 -1.016
Ge -2.123 9.941 4.024
Ge -3.048 9.243 -4.981
Ge -1.344 2.396 3.614
Ge 0.000 0.000 0.000
Ge -9.325 3.718 4.331
Ge 5.018 4.837 0.940
Ge -3.716 -0.706 5.929
Ge -2.877 3.076 8.296
Ge 0.754 6.865 -4.272
Sb 0.702 4.466 -0.419
Sb -2.500 6.509 6.160
Sb -0.043 6.527 10.483
Sb -7.929 3.722 -3.136
Sb 2.004 8.597 6.451
Sb -6.627 7.853 3.733
Sb -5.335 3.057 3.972
Sb -5.883 5.791 -7.169
Sb -3.425 5.810 -2.845
Sb -0.591 9.262 -0.658
Sb -11.782 3.699 0.008
Sb 5.857 8.619 3.307
```

Computed properties:
Final energy in eV per atom: -3.98
Space-group type: Ia-3d (230)

---

No. 2
Computed, not measured: Ac2NpAs4Pd3 after structural relaxation at the GGA-PBE level of DFT.

extended XYZ file:
```
10
Lattice="4.569 0.000 0.000 0.000 4.569 0.000 0.000 0.000 10.940" Properties=species:S:1:pos:R:3 pbc="T T T"
Pd 0.000 2.285 1.189
Pd 2.285 0.000 9.751
Pd 0.000 0.000 5.470
As 2.285 0.000 7.175
As 0.000 0.000 0.000
As 2.285 2.285 0.000
As 0.000 2.285 3.766
Ac 0.000 2.285 8.507
Ac 2.285 0.000 2.433
Np 2.285 2.285 5.470
```

Computed properties:
Final energy in eV per atom: -6.34
Space-group type: P-4m2 (115)